Material: YTc2PbO8
Method: DFT, GGA-PBE
State: relaxed

Unit cell a=5.9724 b=5.9724 c=7.1233 alpha=90.00 beta=90.00 gamma=120.00
Closest atoms and distances in Å follow each position.
Sites, in units of the cell vectors:
1 Y 0.0000 0.0000 0.5000  6 O 2.26
2 O 0.3284 0.1646 0.2901  1 Tc 1.83
3 O 0.8354 0.1638 0.2901  1 Tc 1.83
4 O 0.3333 0.6667 0.0328  1 Tc 1.76
5 O 0.1638 0.3284 0.7099  1 Tc 1.83
6 O 0.1646 0.8362 0.7099  1 Tc 1.83
7 O 0.6716 0.8354 0.7099  1 Tc 1.83
8 O 0.8362 0.6716 0.2901  1 Tc 1.83
9 O 0.6667 0.3333 0.9672  1 Tc 1.76
10 Tc 0.3333 0.6667 0.7858  4 O 1.76-1.83
11 Tc 0.6667 0.3333 0.2142  4 O 1.76-1.83
12 Pb 0.0000 0.0000 0.0000  6 O 2.67

## Properties
- formation energy without anion corrections (meV/atom) = -1697
- density (g cm⁻³) = 4.68
- total DFT energy (no corrections) (eV per cell) = -90.93
- symmetry = No. 164